The following is a DFT calculation (GGA-PBE) of a geometry-optimized Sc6Si2C structure.

Cell: 6.204 6.204 6.204 Å, 60.00 60.00 60.00°
Positions (direct):
Sc: 0.248 0.752 0.752
Sc: 0.248 0.752 0.248
Sc: 0.752 0.248 0.752
Sc: 0.752 0.248 0.248
Sc: 0.752 0.752 0.248
Sc: 0.248 0.248 0.752
Si: 0.250 0.250 0.250
Si: 0.750 0.750 0.750
C: 0.000 0.000 0.000

Output
The calculation puts the raw formation energy at -521 meV per atom. As for the total energy: -6.972 eV per atom. The density of states at the Fermi level comes out at 0.996 states/eV/atom.